Record 1
Compound: Zn5Ag5Pd
Source: Alexandria
Functional: GGA-PBE
Structure: relaxed

The formation enthalpy at 0 K comes out at -0.001 eV per atom. The density comes out at 8.354 g cm⁻³. The calculation puts the density of states at the Fermi level at 5.35 states/eV per cell.

It has space group C2/m (No. 12), with a = 15.2359 Å, b = 4.8286 Å, c = 5.6484 Å, α = 90.00°, β = 111.45° and γ = 90.00°. The inequivalent atoms are Zn at (0.0000, 0.0000, 0.0000), Zn at (0.1571, 0.5000, 0.3983), Zn at (0.1571, 0.5000, 0.9149), Ag at (0.0000, 0.5000, 0.5000), Ag at (0.1611, 0.0000, 0.6625), Ag at (0.1832, 0.0000, 0.1847) and Pd at (0.0000, 0.5000, 0.0000).



Record 2
Compound: Tb5Sc3
Source: Alexandria
Functional: GGA-PBE
Structure: relaxed

The formation enthalpy at 0 K comes out at 0.048 eV per atom. The density comes out at 6.656 g cm⁻³. The calculation puts the density of states at the Fermi level at 12.85 states/eV per cell.

It has space group Pmmm (No. 47), with a = 4.8057 Å, b = 4.9105 Å, c = 9.8271 Å, α = 90.00°, β = 90.00° and γ = 90.00°. The inequivalent atoms are Tb at (0.0000, 0.0000, 0.0000), Tb at (0.0000, 0.0000, 0.5000), Tb at (0.0000, 0.5000, 0.2449), Tb at (0.5000, 0.5000, 0.5000), Sc at (0.5000, 0.0000, 0.2455) and Sc at (0.5000, 0.5000, 0.0000).



Record 3
Compound: AcCuHg2F8
Source: Alexandria
Functional: GGA-PBE
Structure: relaxed

The density comes out at 7.098 g cm⁻³. The calculation puts the uncorrected formation energy at -2253 meV per atom. The calculation puts the density of states at the Fermi level at 3.02 states/eV per cell.

It has space group P-1 (No. 2), with a = 4.2031 Å, b = 5.6192 Å, c = 8.3682 Å, α = 93.00°, β = 90.19° and γ = 90.21°. The inequivalent atoms are Ac at (0.0000, 0.0000, 0.0000), Cu at (0.0000, 0.0000, 0.5000), Hg at (0.4693, 0.5309, 0.2844), F at (0.0328, 0.6338, 0.8138), F at (0.0579, 0.8727, 0.2829), F at (0.3533, 0.2508, 0.4800) and F at (0.4914, 0.2298, 0.9503).



Record 4
Compound: TbPm4Dy3S8
Source: Alexandria
Functional: GGA-PBE
Structure: relaxed

The density comes out at 6.942 g cm⁻³. The calculation puts the uncorrected formation energy at -2015 meV per atom. The calculation puts the density of states at the Fermi level at 24.34 states/eV per cell.

It has space group R-3m (No. 166, hexagonal axes), with a = 7.9100 Å, b = 7.9100 Å, c = 19.6411 Å, α = 90.00°, β = 90.00° and γ = 120.00°. The inequivalent atoms are Tb at (0.0000, 0.0000, 0.0000), Pm at (0.0000, 0.0000, 0.5000), Pm at (0.0000, 0.5000, 0.5000), Dy at (0.0000, 0.5000, 0.0000), S at (0.0000, 0.0000, 0.2544) and S at (0.0011, 0.5005, 0.2541).



Record 5
Compound: Pr3Y
Source: Alexandria
Functional: GGA-PBE
Structure: relaxed

The formation enthalpy at 0 K comes out at 0.698 eV per atom. The density comes out at 4.759 g cm⁻³. The calculation puts the density of states at the Fermi level at 11.84 states/eV per cell.

It has space group Cmmm (No. 65), with a = 5.8470 Å, b = 10.2024 Å, c = 5.9850 Å, α = 90.00°, β = 90.00° and γ = 90.00°. The inequivalent atoms are Pr at (0.0000, 0.0000, 0.0000), Pr at (0.0000, 0.3333, 0.5000) and Y at (0.0000, 0.0000, 0.5000).



Record 6
Compound: Fe2HgAs
Source: Alexandria
Functional: GGA-PBE
Structure: relaxed

The formation enthalpy at 0 K comes out at 0.165 eV per atom. The density comes out at 9.506 g cm⁻³. The calculation puts the density of states at the Fermi level at 4.04 states/eV per cell.

It has space group P4mm (No. 99), with a = 3.0443 Å, b = 3.0443 Å, c = 7.2979 Å, α = 90.00°, β = 90.00° and γ = 90.00°. The inequivalent atoms are Fe at (0.0000, 0.0000, 0.0000), Fe at (0.5000, 0.5000, 0.1788), Hg at (0.0000, 0.0000, 0.4289) and As at (0.5000, 0.5000, 0.8252).



Record 7
Compound: ZnCoTe2
Source: Alexandria
Functional: GGA-PBE
Structure: relaxed

The density comes out at 7.297 g cm⁻³. The calculation puts the uncorrected formation energy at 312 meV per atom. The calculation puts the density of states at the Fermi level at 6.27 states/eV per cell.

It has space group Cmmm (No. 65), with a = 4.1225 Å, b = 5.1803 Å, c = 8.0891 Å, α = 90.00°, β = 90.00° and γ = 90.00°. The inequivalent atoms are Zn at (0.0000, 0.0000, 0.0000), Co at (0.0000, 0.0000, 0.5000) and Te at (0.0000, 0.5000, 0.2990).



Record 8
Compound: K2CaCd16
Source: Alexandria
Functional: GGA-PBE
Structure: relaxed

The formation enthalpy at 0 K comes out at -0.094 eV per atom. The density comes out at 6.511 g cm⁻³. The calculation puts the density of states at the Fermi level at 20.39 states/eV per cell.

It has space group R3m (No. 160, hexagonal axes), with a = 10.5161 Å, b = 10.5161 Å, c = 15.3142 Å, α = 90.00°, β = 90.00° and γ = 120.00°. The inequivalent atoms are K at (0.0000, 0.0000, 0.0000), K at (0.0000, 0.0000, 0.3036), Ca at (0.0000, 0.0000, 0.7341), Cd at (0.0000, 0.0000, 0.5236), Cd at (0.9999, 0.4999, 0.1595), Cd at (0.0008, 0.5004, 0.5077), Cd at (0.0071, 0.5036, 0.8092) and Cd at (0.0304, 0.3628, 0.3250).



Record 9
Compound: Tl2Se
Source: Alexandria
Functional: GGA-PBE
Structure: relaxed

The density comes out at 7.807 g cm⁻³. The calculation puts the uncorrected formation energy at -373 meV per atom. The calculation puts the density of states at the Fermi level at 0.03 states/eV per cell.

It has space group P-3m1 (No. 164), with a = 4.4915 Å, b = 4.4915 Å, c = 5.9380 Å, α = 90.00°, β = 90.00° and γ = 120.00°. The inequivalent atoms are Tl at (0.3333, 0.6667, 0.2219) and Se at (0.0000, 0.0000, 0.5000).



Record 10
Compound: AlSiAu
Source: Alexandria
Functional: GGA-PBE
Structure: relaxed

The density comes out at 7.409 g cm⁻³. The calculation puts the uncorrected formation energy at -102 meV per atom. The calculation puts the density of states at the Fermi level at 3.12 states/eV per cell.

It has space group Cm (No. 8), with a = 21.7764 Å, b = 2.7677 Å, c = 3.8050 Å, α = 90.00°, β = 99.88° and γ = 90.00°. The inequivalent atoms are Al at (0.0000, 0.0000, 0.0000), Al at (0.1685, 0.0000, 0.6690), Si at (0.2697, 0.5000, 0.7701), Si at (0.3335, 0.5000, 0.3331), Au at (0.1082, 0.5000, 0.1098) and Au at (0.4353, 0.0000, 0.4370).



Record 11
Compound: ScTl2Fe
Source: Alexandria
Functional: GGA-PBE
Structure: relaxed

The formation enthalpy at 0 K comes out at 0.207 eV per atom. The density comes out at 9.412 g cm⁻³. The calculation puts the density of states at the Fermi level at 3.77 states/eV per cell.

It has space group Pm (No. 6), with a = 3.6221 Å, b = 3.5862 Å, c = 7.1509 Å, α = 90.00°, β = 104.56° and γ = 90.00°. The inequivalent atoms are Sc at (0.0000, 0.0000, 0.0000), Tl at (0.3570, 0.5000, 0.7134), Tl at (0.7100, 0.0000, 0.4116) and Fe at (0.5546, 0.5000, 0.1098).



Record 12
Compound: Ca2TaTl
Source: Alexandria
Functional: GGA-PBE
Structure: relaxed

The formation enthalpy at 0 K comes out at 0.385 eV per atom. The density comes out at 7.331 g cm⁻³. The calculation puts the density of states at the Fermi level at 10.12 states/eV per cell.

It has space group R-3m (No. 166, hexagonal axes), with a = 3.3523 Å, b = 3.3523 Å, c = 32.5030 Å, α = 90.00°, β = 90.00° and γ = 120.00°. The inequivalent atoms are Ca at (0.0000, 0.0000, 0.2477), Ta at (0.0000, 0.0000, 0.5000) and Tl at (0.0000, 0.0000, 0.0000).



Record 13
Compound: HoTiRh2
Source: Alexandria
Functional: GGA-PBE
Structure: relaxed

The formation enthalpy at 0 K comes out at -0.719 eV per atom. The density comes out at 10.034 g cm⁻³. The calculation puts the density of states at the Fermi level at 12.08 states/eV per cell.

It has space group Fm-3m (No. 225), with a = 6.5196 Å, b = 6.5196 Å, c = 6.5196 Å, α = 90.00°, β = 90.00° and γ = 90.00°. The inequivalent atoms are Ho at (0.0000, 0.0000, 0.0000), Ti at (0.0000, 0.0000, 0.5000) and Rh at (0.2500, 0.2500, 0.2500).



Record 14
Compound: Rb3TbNd3Te8
Source: Alexandria
Functional: GGA-PBE
Structure: relaxed

The density comes out at 4.933 g cm⁻³. The calculation puts the uncorrected formation energy at -1324 meV per atom. The calculation puts the density of states at the Fermi level at 26.38 states/eV per cell.

It has space group R-3m (No. 166, hexagonal axes), with a = 9.0640 Å, b = 9.0640 Å, c = 26.5217 Å, α = 90.00°, β = 90.00° and γ = 120.00°. The inequivalent atoms are Rb at (0.0000, 0.5000, 0.0000), Tb at (0.0000, 0.0000, 0.5000), Nd at (0.0000, 0.5000, 0.5000), Te at (0.0000, 0.0000, 0.2354) and Te at (0.0054, 0.5027, 0.2338).



Record 15
Compound: YScTlCu
Source: Alexandria
Functional: GGA-PBE
Structure: relaxed

The formation enthalpy at 0 K comes out at -0.243 eV per atom. The density comes out at 7.360 g cm⁻³. The calculation puts the density of states at the Fermi level at 12.61 states/eV per cell.

It has space group F-43m (No. 216), with a = 7.1309 Å, b = 7.1309 Å, c = 7.1309 Å, α = 90.00°, β = 90.00° and γ = 90.00°. The inequivalent atoms are Y at (0.0000, 0.0000, 0.0000), Sc at (0.0000, 0.0000, 0.5000), Tl at (0.2500, 0.2500, 0.2500) and Cu at (0.2500, 0.2500, 0.7500).



Record 16
Compound: SrYAl
Source: Alexandria
Functional: GGA-PBE
Structure: relaxed

The formation enthalpy at 0 K comes out at -0.017 eV per atom. The density comes out at 3.169 g cm⁻³. The calculation puts the density of states at the Fermi level at 4.93 states/eV per cell.

It has space group P4/nmm (No. 129, origin choice 2), with a = 5.1821 Å, b = 5.1821 Å, c = 7.9416 Å, α = 90.00°, β = 90.00° and γ = 90.00°. The inequivalent atoms are Sr at (0.2500, 0.2500, 0.1909), Y at (0.2500, 0.2500, 0.6741) and Al at (0.2500, 0.7500, 0.5000).



Record 17
Compound: Tb7DyTm3
Source: Alexandria
Functional: GGA-PBE
Structure: relaxed

The formation enthalpy at 0 K comes out at 0.192 eV per atom. The density comes out at 8.131 g cm⁻³. The calculation puts the density of states at the Fermi level at 17.11 states/eV per cell.

It has space group P3m1 (No. 156), with a = 7.0227 Å, b = 7.0227 Å, c = 8.5191 Å, α = 90.00°, β = 90.00° and γ = 120.00°. The inequivalent atoms are Tb at (0.0000, 0.0000, 0.0000), Tb at (0.1654, 0.3308, 0.3311), Tb at (0.5012, 0.0025, 0.9924), Dy at (0.6667, 0.3333, 0.3236) and Tm at (0.3335, 0.1667, 0.6615).



Record 18
Compound: Ac2CuRh
Source: Alexandria
Functional: GGA-PBE
Structure: relaxed

The formation enthalpy at 0 K comes out at -0.446 eV per atom. The density comes out at 9.426 g cm⁻³. The calculation puts the density of states at the Fermi level at 5.21 states/eV per cell.

It has space group P2_1/m (No. 11), with a = 6.1454 Å, b = 4.5504 Å, c = 8.3148 Å, α = 90.00°, β = 109.93° and γ = 90.00°. The inequivalent atoms are Ac at (0.2252, 0.2500, 0.4369), Ac at (0.2306, 0.2500, 0.9283), Cu at (0.3584, 0.7500, 0.2146) and Rh at (0.3380, 0.7500, 0.7130).



Record 19
Compound: InFePd6
Source: Alexandria
Functional: GGA-PBE
Structure: relaxed

The formation enthalpy at 0 K comes out at -0.127 eV per atom. The density comes out at 10.306 g cm⁻³. The calculation puts the density of states at the Fermi level at 4.42 states/eV per cell.

It has space group P-1 (No. 2), with a = 5.0704 Å, b = 5.0813 Å, c = 5.0955 Å, α = 93.57°, β = 94.11° and γ = 93.68°. The inequivalent atoms are In at (0.0000, 0.0000, 0.0000), Fe at (0.5000, 0.5000, 0.5000), Pd at (0.0543, 0.4641, 0.7485), Pd at (0.2520, 0.9429, 0.5384) and Pd at (0.4628, 0.7480, 0.0575).



Record 20
Compound: CsMn3Cl
Source: Alexandria
Functional: GGA-PBE
Structure: relaxed

The density comes out at 4.699 g cm⁻³. The calculation puts the uncorrected formation energy at 1141 meV per atom. The calculation puts the density of states at the Fermi level at 3.09 states/eV per cell.

It has space group Pm-3m (No. 221), with a = 4.9014 Å, b = 4.9014 Å, c = 4.9014 Å, α = 90.00°, β = 90.00° and γ = 90.00°. The inequivalent atoms are Cs at (0.0000, 0.0000, 0.0000), Mn at (0.0000, 0.5000, 0.5000) and Cl at (0.5000, 0.5000, 0.5000).